Entry 1:
LiTaSeN2: relaxed, PBE.

Values from the calculation:
E: -6.924 eV/atom
D(E_F): 0.798 states/eV/atom
Formation energy without anion corrections: -0.144 eV per atom
Polymorph energy (0 for the lowest one): 0 meV/atom
Space-group type: P4/mmm, No. 123

Lattice parameters (Å, degrees): 3.988 3.988 5.330 90.00 90.00 90.00
Fractional coordinates of all 5 atoms:
Li1 0.000 0.000 0.000
Ta1 0.500 0.500 0.500
Se1 0.500 0.500 0.000
N1 0.000 0.500 0.500
N2 0.500 0.000 0.500


Entry 2:
Ce2CdAgIr: relaxed, PBE.

Values from the calculation:
E: -5.252 eV/atom
D(E_F): 2.215 states/eV/atom
Formation enthalpy at 0 K: -352.9 meV/atom
Space-group type: P2_1/m, No. 11

Lattice parameters (Å, degrees): 7.932 4.102 8.081 90.00 109.63 90.00
Fractional coordinates of all 10 atoms:
Ce1 0.006 0.250 0.213
Ce2 0.347 0.750 0.613
Ce3 0.653 0.250 0.387
Ce4 0.994 0.750 0.787
Cd1 0.322 0.750 0.186
Cd2 0.678 0.250 0.814
Ag1 0.358 0.250 0.951
Ag2 0.642 0.750 0.049
Ir1 0.107 0.250 0.611
Ir2 0.893 0.750 0.389


Entry 3:
Ba2YCd: relaxed, PBE.

Values from the calculation:
E: -2.824 eV/atom
D(E_F): 1.471 states/eV/atom
Formation enthalpy at 0 K: -18.0 meV/atom
Space-group type: Cm, No. 8

Lattice parameters (Å, degrees): 14.440 4.072 6.286 90.00 115.74 90.00
Fractional coordinates of all 8 atoms:
Ba1 0.000 0.000 0.000
Ba2 0.206 0.000 0.705
Ba3 0.500 0.500 0.000
Ba4 0.706 0.500 0.705
Y1 0.288 0.500 0.287
Y2 0.788 0.000 0.287
Cd1 0.471 0.000 0.472
Cd2 0.971 0.500 0.472